The following is a PBE calculation of a relaxed structure of Ca2TlW, from the Alexandria database.

VASP energy (eV/atom): -4.26
Total magnetization (μB/cell): 0.00
Calculated formation energy (eV per atom): 0.567
Fermi-level density of states (states/eV/cell): 7.86

Unit cell a=11.838 b=3.139 c=5.694 alpha=90.00 beta=105.95 gamma=90.00
Space group Cm (No. 8)
Inequivalent atoms, fractional coordinates:
Ca: 0.000 0.000 0.000 x2
Ca: 0.196 0.000 0.624 x2
Tl: 0.256 0.500 0.161 x2
W: 0.445 0.000 0.472 x2